# 1
Material: Na2H2I
Method: DFT, PBE-GGA
State: optimized geometry

Polymorph energy (0 for the lowest one), eV/f.u.: 1.19

Cell: 7.379 7.379 7.379 Å, 150.01 150.01 42.92°
Fractional positions:
Na: 0.155 0.155 0.000
Na: 0.845 0.845 0.000
H: 0.250 0.750 0.500
H: 0.750 0.250 0.500
I: 0.500 0.500 0.000



# 2
Material: Na4H3I4
Method: DFT, PBE-GGA
State: optimized geometry

Total DFT energy (no corrections), eV/atom: -2.27

Cell: 12.990 5.062 5.062 Å, 77.50 90.00 90.00°
Fractional positions:
Na: 0.000 0.000 0.000
Na: 0.248 0.600 0.600
Na: 0.500 0.029 0.029
Na: 0.752 0.600 0.600
H: 0.254 0.304 0.304
H: 0.500 0.326 0.326
H: 0.746 0.304 0.304
I: 0.000 0.598 0.598
I: 0.249 0.014 0.014
I: 0.500 0.614 0.614
I: 0.751 0.014 0.014



# 3
Material: Na2H2I2O
Method: DFT, PBE-GGA
State: optimized geometry

Total DFT energy (no corrections), eV/atom: -3.42

Cell: 6.435 6.435 7.547 Å, 125.81 125.81 38.09°
Fractional positions:
Na: 0.000 0.000 0.246
Na: 0.000 0.000 0.754
H: 0.398 0.398 0.898
H: 0.602 0.602 0.102
I: 0.296 0.296 0.296
I: 0.704 0.704 0.704
O: 0.500 0.500 0.000



# 4
Material: NaH4IO7
Method: DFT, PBE-GGA
State: optimized geometry

Total DFT energy (no corrections), eV/atom: -4.49

Cell: 5.503 5.632 5.809 Å, 64.53 66.15 62.93°
Fractional positions:
Na: 0.000 0.000 0.000
H: 0.100 0.666 0.593
H: 0.591 0.118 0.641
H: 0.649 0.626 0.060
H: 0.984 0.249 0.450
I: 0.622 0.669 0.618
O: 0.199 0.127 0.223
O: 0.275 0.630 0.771
O: 0.451 0.030 0.677
O: 0.603 0.810 0.265
O: 0.720 0.492 0.957
O: 0.806 0.281 0.607
O: 0.992 0.718 0.459



# 5
Material: Na2HIO
Method: DFT, PBE-GGA
State: optimized geometry

Total DFT energy (no corrections), eV/atom: -3.80

Cell: 6.695 3.945 7.996 Å, 90.00 108.21 90.00°
Fractional positions:
Na: 0.179 0.250 0.473
Na: 0.186 0.250 0.860
Na: 0.814 0.750 0.140
Na: 0.821 0.750 0.527
H: 0.326 0.750 0.704
H: 0.674 0.250 0.296
I: 0.319 0.750 0.202
I: 0.681 0.250 0.798
O: 0.172 0.750 0.668
O: 0.828 0.250 0.332



# 6
Material: NaHI2O6
Method: DFT, PBE-GGA
State: optimized geometry

Total DFT energy (no corrections), eV/atom: -4.40

Cell: 7.479 7.479 6.572 Å, 91.09 91.09 110.91°
Fractional positions:
Na: 0.108 0.892 0.750
Na: 0.892 0.108 0.250
H: 0.097 0.903 0.250
H: 0.903 0.097 0.750
I: 0.180 0.430 0.873
I: 0.430 0.180 0.373
I: 0.570 0.820 0.627
I: 0.820 0.570 0.127
O: 0.005 0.177 0.894
O: 0.024 0.556 0.789
O: 0.177 0.005 0.394
O: 0.283 0.407 0.631
O: 0.407 0.283 0.131
O: 0.444 0.976 0.711
O: 0.556 0.024 0.289
O: 0.593 0.717 0.869
O: 0.717 0.593 0.369
O: 0.823 0.995 0.606
O: 0.976 0.444 0.211
O: 0.995 0.823 0.106